No. 1
First-principles (PBEsol) data for a relaxed KMoCl2 crystal, as listed in Alexandria.

Output
excess energy over the best structure of this formula in the dataset	0	meV/atom
total energy	-4.48	eV/atom
symmetry	C2/m
uncorrected formation energy	-0.246	eV per atom
M_tot	5.00	Bohr magnetons per cell

Unit cell a=4.6684 b=4.4876 c=6.5361 alpha=100.38 beta=90.00 gamma=121.34
With the nearest neighbours (Å) after each atom.
Element x y z (fractional)
Mo  0.5000  0.0000  0.0000  2 Cl 2.44
K  0.0000  0.0000  0.5000  6 Cl 3.10-3.11
Cl  0.7053  0.4106  0.7609  1 Mo 2.44
Cl  0.2947  0.5894  0.2391  1 Mo 2.44

=====

No. 2
First-principles (PBEsol) data for a relaxed KTaN2Cl crystal, as listed in Alexandria.

Output
total energy	-7.17	eV/atom
symmetry	P4/mmm
uncorrected formation energy	-0.618	eV per atom
M_tot	0.00	Bohr magnetons per cell

Unit cell a=4.0575 b=4.0575 c=5.0612 alpha=90.00 beta=90.00 gamma=90.00
With the nearest neighbours (Å) after each atom.
Element x y z (fractional)
N  0.0000  0.5000  0.0000  2 Ta 2.03
N  0.5000  0.0000  0.0000  2 Ta 2.03
K  0.5000  0.5000  0.5000  4 Cl 2.87
Cl  0.0000  0.0000  0.5000  2 Ta 2.53
Ta  0.0000  0.0000  0.0000  4 N 2.03